Entry a
5
Lattice="5.5921 0.0000 0.0000 0.0000 5.5921 0.0000 0.0000 0.0000 5.5921" Properties=species:S:1:pos:R:3 comment="BaMgP3, optimized geometry, DFT PBE-GGA" space_group="Pm-3m (221)" volume_a3_per_atom=34.97 pbc="T T T"
P 2.7960 0.0000 0.0000
P 0.0000 2.7960 0.0000
P 0.0000 0.0000 2.7960
Mg 2.7960 2.7960 2.7960
Ba 0.0000 0.0000 0.0000

=====

Entry b
5
Lattice="-3.8686 -0.7962 3.0082 -2.8729 -0.9304 -3.9409 1.1957 -4.8114 0.2642" Properties=species:S:1:pos:R:3 comment="BaMgP3, optimized geometry, DFT PBE-GGA" space_group="Pm-3m (221)" volume_a3_per_atom=24.48 pbc="T T T"
Ba -2.7729 -3.2690 -0.3342
Mg 0.0000 0.0000 0.0000
P 0.5979 -2.4057 0.1321
P -1.4364 -0.4652 -1.9704
P -1.9343 -0.3981 1.5041

=====

entry b takes first place; second place is 1.300 eV/atom up.

=====

Entry a
5
Lattice="-2.2524 3.3275 4.0113 -4.8585 0.2408 -2.9279 -1.8563 -4.5216 2.7084" Properties=species:S:1:pos:R:3 comment="BaMgPS2, optimized geometry, DFT PBE-GGA" space_group="P4/mmm (123)" volume_a3_per_atom=36.03 pbc="T T T"
S -2.4293 0.1204 -1.4639
S -1.1262 1.6637 2.0057
Mg -4.4836 -0.4767 1.8959
Ba 0.0000 0.0000 0.0000
P -0.9281 -2.2608 1.3542

=====

Entry b
5
Lattice="5.0375 0.0000 0.0000 0.0000 5.0375 0.0000 0.0000 0.0000 4.8338" Properties=species:S:1:pos:R:3 comment="BaMgPS2, optimized geometry, DFT PBE-GGA" space_group="P4/mmm (123)" volume_a3_per_atom=24.53 pbc="T T T"
Ba 2.5188 2.5188 2.4169
S 2.5188 0.0000 0.0000
S 0.0000 2.5188 0.0000
P 0.0000 0.0000 2.4169
Mg 0.0000 0.0000 0.0000

=====

entry b takes first place; second place is 1.267 eV/atom up.

=====

Entry a
10
Lattice="9.2286 0.0000 0.0000 0.0000 9.2286 0.0000 0.0000 0.0000 3.6190" Properties=species:S:1:pos:R:3 comment="BaMg2Pb2, optimized geometry, DFT PBE-GGA" space_group="P4/mbm (127)" volume_a3_per_atom=30.82 pbc="T T T"
Mg 7.9020 3.2876 1.8095
Mg 5.9410 7.9020 1.8095
Mg 3.2876 1.3267 1.8095
Mg 1.3267 5.9410 1.8095
Ba 0.0000 0.0000 0.0000
Ba 4.6143 4.6143 0.0000
Pb 3.2775 7.8918 0.0000
Pb 5.9511 1.3368 0.0000
Pb 1.3368 3.2775 0.0000
Pb 7.8918 5.9511 0.0000

=====

Entry b
5
Lattice="4.9270 0.0000 0.0000 0.0000 4.9270 0.0000 2.4635 2.4635 6.5490" Properties=species:S:1:pos:R:3 comment="BaMg2Pb2, optimized geometry, DFT PBE-GGA" space_group="I4/mmm (139)" volume_a3_per_atom=31.80 pbc="T T T"
Pb 4.9270 4.9270 4.9846
Pb 2.4635 2.4635 1.5644
Mg 2.4635 4.9270 3.2745
Mg 4.9270 2.4635 3.2745
Ba 0.0000 0.0000 0.0000

=====

Entry c
10
Lattice="5.0044 0.0000 0.0000 0.0000 5.0044 0.0000 0.0000 0.0000 12.4437" Properties=species:S:1:pos:R:3 comment="BaMg2Pb2, optimized geometry, DFT PBE-GGA" space_group="P4/nmm (129)" volume_a3_per_atom=31.16 pbc="T T T"
Ba 0.0000 2.5022 9.3393
Ba 2.5022 0.0000 3.1044
Pb 0.0000 0.0000 6.2219
Pb 2.5022 0.0000 10.7787
Pb 0.0000 2.5022 1.6650
Pb 2.5022 2.5022 6.2219
Mg 2.5022 2.5022 0.0000
Mg 0.0000 0.0000 0.0000
Mg 2.5022 0.0000 7.9076
Mg 0.0000 2.5022 4.5361

=====

Entry d
10
Lattice="-4.9116 -7.2162 2.3170 5.3364 -1.3320 7.1635 -2.1867 2.1391 2.0267" Properties=species:S:1:pos:R:3 comment="BaMg2Pb2, optimized geometry, DFT PBE-GGA" space_group="P4/mbm (127)" volume_a3_per_atom=29.93 pbc="T T T"
Pb -3.4087 -5.3648 5.3063
Pb 0.0514 -4.8672 8.5145
Pb 1.6468 -1.0444 6.2009
Pb -1.8134 -1.5419 2.9928
Mg 1.4318 -1.3759 2.9970
Mg -2.4046 -4.6395 2.3023
Mg -1.0070 -7.1723 6.4835
Mg 2.8293 -3.9088 7.1781
Ba 0.0000 0.0000 0.0000
Ba 0.2124 -4.2741 4.7402

=====

entry c takes first place; second place is 0.015 eV/atom up.

=====

Entry a
5
Lattice="6.1426 0.0000 0.0000 0.0000 6.1426 0.0000 0.0000 0.0000 6.1426" Properties=species:S:1:pos:R:3 comment="BaMg3Pb, optimized geometry, DFT PBE-GGA" space_group="Pm-3m (221)" volume_a3_per_atom=46.35 pbc="T T T"
Ba 0.0000 0.0000 0.0000
Pb 3.0713 3.0713 3.0713
Mg 0.0000 0.0000 3.0713
Mg 0.0000 3.0713 0.0000
Mg 3.0713 0.0000 0.0000

=====

Entry b
5
Lattice="-2.2062 -4.7786 -2.1769 -0.7704 -2.0412 5.2613 -5.1942 2.3324 0.1443" Properties=species:S:1:pos:R:3 comment="BaMg3Pb, optimized geometry, DFT PBE-GGA" space_group="Pm-3m (221)" volume_a3_per_atom=36.95 pbc="T T T"
Mg -2.5971 1.1662 0.0721
Mg -0.3852 -1.0206 2.6306
Mg -1.1031 -2.3893 -1.0885
Pb 0.0000 0.0000 0.0000
Ba -4.0854 -2.2437 1.6143

=====

entry b takes first place; second place is 0.899 eV/atom up.

=====

Entry a
12
Lattice="5.2168 0.0000 0.0000 -2.6084 4.5179 0.0000 0.0000 0.0000 16.0135" Properties=species:S:1:pos:R:3 comment="BaMg2Pb3, optimized geometry, DFT PBE-GGA" space_group="P6_3/mmc (194)" volume_a3_per_atom=31.45 pbc="T T T"
Mg 0.0000 3.0119 9.2424
Mg 0.0000 3.0119 14.7779
Mg 2.6084 1.5060 6.7711
Mg 2.6084 1.5060 1.2356
Ba 0.0000 0.0000 4.0034
Ba 0.0000 0.0000 12.0101
Pb 2.6084 1.5060 14.0294
Pb 0.0000 3.0119 1.9841
Pb 0.0000 0.0000 8.0068
Pb 0.0000 3.0119 6.0226
Pb 0.0000 0.0000 0.0000
Pb 2.6084 1.5060 9.9909

=====

Entry b
12
Lattice="-6.1793 -1.9744 0.6849 0.9531 -0.2834 7.7824 -2.4639 7.3914 -0.9224" Properties=species:S:1:pos:R:3 comment="BaMg2Pb3, optimized geometry, DFT PBE-GGA" space_group="Cmcm (63)" volume_a3_per_atom=32.86 pbc="T T T"
Ba -2.0375 1.8244 2.4084
Ba -5.6526 3.3091 5.1364
Pb -5.6868 1.8972 0.7575
Pb -3.2827 6.1099 3.5281
Pb -2.0033 3.2364 6.7873
Pb -4.4074 -0.9764 4.0167
Pb -2.9954 6.3311 6.7578
Pb -4.6947 -1.1976 0.7870
Mg 0.1946 1.4202 5.8501
Mg -2.8951 0.4330 6.1925
Mg -4.7951 4.7005 1.3523
Mg -1.7054 5.6877 1.0099

=====

entry a takes first place; second place is 0.080 eV/atom up.

=====

Entry a
12
Lattice="6.8881 -1.6346 0.3443 -1.5655 6.7740 1.3242 -2.2672 -0.4825 8.7399" Properties=species:S:1:pos:R:3 comment="BaMgPb4, optimized geometry, DFT PBE-GGA" space_group="P-1 (2)" volume_a3_per_atom=33.36 pbc="T T T"
Pb 0.8976 2.7585 6.5600
Pb 4.9011 -1.5913 6.0029
Pb 4.4452 -0.0771 2.1975
Pb 0.6265 4.5574 2.7366
Pb 2.1578 1.8984 3.8483
Pb -1.3898 4.7340 8.2108
Pb -1.8457 6.2482 4.4054
Pb 2.4290 0.0994 7.6717
Ba -1.2470 1.1519 9.0625
Ba 4.3025 3.5050 1.3457
Mg 2.3105 -1.0586 4.5421
Mg -1.9163 3.1458 5.0320

=====

Entry b
6
Lattice="0.4528 -6.5613 0.8129 -1.7670 -2.7547 5.7625 -5.4986 -3.6809 0.3649" Properties=species:S:1:pos:R:3 comment="BaMgPb4, optimized geometry, DFT PBE-GGA" space_group="F-43m (216)" volume_a3_per_atom=34.30 pbc="T T T"
Pb -5.2900 -6.7127 2.7901
Pb -2.5611 -4.8859 2.6090
Pb -2.3364 -8.1422 3.0124
Pb -3.4381 -6.2530 5.4688
Mg 0.0000 0.0000 0.0000
Ba -5.1096 -9.7477 5.2052

=====

entry a takes first place; second place is 0.018 eV/atom up.

=====

Entry a
5
Lattice="5.2039 0.0000 0.0000 0.0000 6.8567 0.0000 0.0000 0.0000 5.2039" Properties=species:S:1:pos:R:3 comment="BaMg2PtPb, optimized geometry, DFT PBE-GGA" space_group="P4/mmm (123)" volume_a3_per_atom=37.14 pbc="T T T"
Pb 0.0000 0.0000 0.0000
Ba 0.0000 3.4283 0.0000
Pt 2.6019 3.4283 2.6019
Mg 2.6019 0.0000 0.0000
Mg 0.0000 0.0000 2.6019

=====

Entry b
5
Lattice="-1.2372 4.6856 -1.7811 -3.2876 0.6264 3.9316 4.0308 2.2116 3.0183" Properties=species:S:1:pos:R:3 comment="BaMg2PtPb, optimized geometry, DFT PBE-GGA" space_group="P4/mmm (123)" volume_a3_per_atom=29.32 pbc="T T T"
Pt 0.0000 0.0000 0.0000
Pb 2.0154 1.1058 1.5091
Mg -0.6186 2.3428 -0.8906
Mg -1.6438 0.3132 1.9658
Ba -0.2470 3.7618 2.5843

=====

entry b takes first place; second place is 0.718 eV/atom up.

=====

Entry a
10
Lattice="-6.3470 1.0864 -2.9778 6.0012 -0.0838 -4.3705 -1.8252 -7.3062 1.2248" Properties=species:S:1:pos:R:3 comment="Ba2Mg2Pd, optimized geometry, DFT PBE-GGA" space_group="C2/c (15)" volume_a3_per_atom=33.50 pbc="T T T"
Pd -6.4363 -4.6123 -1.4589
Pd -1.7359 -1.6075 -0.2941
Mg 3.9023 -3.9651 -2.9408
Mg -0.3095 0.5652 -5.9574
Mg -1.8616 -6.8689 -0.1661
Mg -6.0733 -2.3386 -3.1827
Ba -2.9324 -4.0181 -2.2831
Ba 0.8880 -6.1166 -2.7405
Ba 0.7614 -2.2856 -3.8405
Ba -3.0591 -0.1871 -3.3831

=====

Entry b
10
Lattice="-2.5247 -5.1370 -4.7421 -2.5560 -4.0146 5.7096 -5.1173 2.8074 -0.3168" Properties=species:S:1:pos:R:3 comment="Ba2Mg2Pd, optimized geometry, DFT PBE-GGA" space_group="P4/mbm (127)" volume_a3_per_atom=32.30 pbc="T T T"
Mg -1.2733 -2.1758 1.2856
Mg -3.8074 -6.9757 -0.3181
Mg -2.0251 -3.9425 -2.2258
Mg -3.0555 -5.2091 3.1933
Ba -6.3713 -5.3805 1.3070
Ba -5.4507 -4.1004 -2.2191
Ba -3.8266 -0.9636 -0.6563
Ba -4.7472 -2.2437 2.8698
Pd 0.0000 0.0000 0.0000
Pd -2.5403 -4.5758 0.4838

=====

entry a takes first place; second place is 0.178 eV/atom up.